Record 1
A plane-wave DFT calculation with PBE was carried out for an optimized crystal structure of KBeS.

abc: 3.6000 3.6000 5.4753
angles: 90.00 90.00 120.00
Atoms (fractional coordinates):
Be (0.3333, 0.6667, 0.0000)
K (0.0000, 0.0000, 0.5000)
S (0.6667, 0.3333, 0.0000)

**Fermi-level density of states**: 1.2 states/eV/cell
**Uncorrected formation energy**: -417 meV per atom
**Relative energy among the computed polymorphs**: 320 meV/atom

---

Record 2
A plane-wave DFT calculation with PBE was carried out for an optimized crystal structure of K3Be2S4.

abc: 3.5292 9.3013 8.6059
angles: 122.97 101.79 90.02
Site moments in Bohr magnetons follow the coordinates.
Atoms (fractional coordinates):
K (0.1214, 0.5796, 0.2427)  0.00
K (0.8786, 0.4204, 0.7573)  0.00
K (0.0000, 0.0000, 0.0000)  0.00
Be (0.6779, 0.9556, 0.3547)  0.00
Be (0.3221, 0.0444, 0.6453)  0.00
S (0.5336, 0.7525, 0.0661)  0.14
S (0.2191, 0.1152, 0.4373)  0.01
S (0.4664, 0.2475, 0.9339)  0.14
S (0.7809, 0.8848, 0.5627)  0.01

**Fermi-level density of states**: 1.0 states/eV/cell
**Uncorrected formation energy**: -988 meV per atom